1.
Density functional theory data (PBE) for an optimized crystal structure of Ca2CS.

Lattice parameters (Å, degrees): 4.7342 4.7342 4.7342 60.00 60.00 60.00
Fractional positions:
Ca 0.2500 0.2500 0.2500
Ca 0.7500 0.7500 0.7500
C 0.0000 0.0000 0.0000
S 0.5000 0.5000 0.5000

The total energy is -4.45 eV per atom. As for the volume: 18.76 Å³/atom.

***

2.
Density functional theory data (PBE) for an optimized crystal structure of CaSb2.

Lattice parameters (Å, degrees): 5.7779 5.7736 4.2137 68.66 68.55 42.79
Fractional positions:
Ca 0.0000 0.0000 0.0000
Sb 0.3529 0.3529 0.6471
Sb 0.6471 0.6471 0.3529

The total energy is -3.86 eV per atom. As for the volume: 29.28 Å³/atom.